VASP calculation (PBE) on crystalline NpPaMnZn at its relaxed geometry.

Summary:
As for the space group: F-43m (216). The calculation puts the calculated formation energy at 0.33 eV/f.u. The electronic total energy comes out at -8.1371 eV/atom.

```
4
Lattice="0.0000 3.3058 3.3058 3.3058 0.0000 3.3058 3.3058 3.3058 0.0000" Properties=species:S:1:pos:R:3 pbc="T T T"
Np 0.0000 0.0000 0.0000
Pa 1.6529 1.6529 1.6529
Mn 3.3058 3.3058 3.3058
Zn 4.9588 4.9588 4.9588
```